(1)
! Cs2BeCuP2 | the Alexandria database | PBE-GGA | optimized geometry; values from VASP
&SYSTEM
  ibrav = 0, nat = 12, ntyp = 4
/
ATOMIC_SPECIES
Cs 132.91 Cs.upf
Be 9.01 Be.upf
Cu 63.55 Cu.upf
P 30.97 P.upf
CELL_PARAMETERS angstrom
-3.299 -2.239 4.122
4.613 -0.799 3.257
-2.097 12.238 0.980
ATOMIC_POSITIONS crystal
Cs 0.375 0.130 0.261
Cs 0.625 0.870 0.739
Cs 0.115 0.370 0.739
Cs 0.885 0.630 0.261
Be 0.500 0.750 0.000
Be 0.500 0.250 0.000
Cu 0.000 0.750 0.000
Cu 0.000 0.250 0.000
P 0.782 0.049 0.097
P 0.316 0.549 0.097
P 0.684 0.451 0.903
P 0.218 0.951 0.903
! ΔH_f (0 K)	-0.243	eV per atom
! final energy	-3.634	eV per atom
! calculated volume	32.1	A^3/atom

(2)
! Cs2BeCuPt | the Alexandria database | PBE-GGA | optimized geometry; values from VASP
&SYSTEM
  ibrav = 0, nat = 5, ntyp = 4
/
ATOMIC_SPECIES
Cs 132.91 Cs.upf
Be 9.01 Be.upf
Cu 63.55 Cu.upf
Pt 195.08 Pt.upf
CELL_PARAMETERS angstrom
-1.704 -5.597 -2.773
4.062 -1.078 -0.320
-0.284 -2.802 5.830
ATOMIC_POSITIONS crystal
Cs 0.000 0.000 0.500
Cs 0.500 0.000 0.000
Be 0.000 0.000 0.000
Cu 0.000 0.500 0.000
Pt 0.500 0.500 0.500
! ΔH_f (0 K)	0.774	eV per atom
! final energy	-2.340	eV per atom
! calculated volume	35.3	A^3/atom

(3)
! CsBeCuSi2 | the Alexandria database | PBE-GGA | optimized geometry; values from VASP
&SYSTEM
  ibrav = 0, nat = 5, ntyp = 4
/
ATOMIC_SPECIES
Cs 132.91 Cs.upf
Be 9.01 Be.upf
Si 28.09 Si.upf
Cu 63.55 Cu.upf
CELL_PARAMETERS angstrom
4.546 0.000 0.000
0.000 6.641 0.000
0.000 0.000 4.546
ATOMIC_POSITIONS crystal
Cs 0.000 0.500 0.000
Be 0.500 0.500 0.500
Si 0.000 0.000 0.500
Si 0.500 0.000 0.000
Cu 0.000 0.000 0.000
! final energy	-2.794	eV per atom
! formation energy from raw total energies	1.11	eV/atom
! calculated volume	27.5	A^3/atom

(4)
! CsDyBe2F8 | the Alexandria database | PBE-GGA | optimized geometry; values from VASP
&SYSTEM
  ibrav = 0, nat = 12, ntyp = 4
/
ATOMIC_SPECIES
Cs 132.91 Cs.upf
Dy 162.50 Dy.upf
Be 9.01 Be.upf
F 19.00 F.upf
CELL_PARAMETERS angstrom
-1.364 -0.821 4.992
3.448 -2.663 2.911
4.073 7.288 2.969
ATOMIC_POSITIONS crystal
Cs 0.000 0.000 0.500
Dy 0.000 0.000 0.000
Be 0.628 0.628 0.211
Be 0.372 0.372 0.789
F 0.700 0.239 0.824
F 0.762 0.762 0.080
F 0.678 0.678 0.368
F 0.322 0.322 0.632
F 0.238 0.238 0.920
F 0.239 0.700 0.824
F 0.761 0.300 0.176
F 0.300 0.761 0.176
! final energy	-5.836	eV per atom
! formation energy from raw total energies	-3.51	eV/atom
! calculated volume	18.2	A^3/atom

(5)
! CsDy2Be2O6 | the Alexandria database | PBE-GGA | optimized geometry; values from VASP
&SYSTEM
  ibrav = 0, nat = 11, ntyp = 4
/
ATOMIC_SPECIES
Cs 132.91 Cs.upf
Dy 162.50 Dy.upf
Be 9.01 Be.upf
O 16.00 O.upf
CELL_PARAMETERS angstrom
6.086 0.005 0.002
3.041 5.514 -0.038
-0.002 -3.108 5.325
ATOMIC_POSITIONS crystal
Cs 0.500 0.000 0.500
Dy 0.824 0.352 0.803
Dy 0.176 0.648 0.197
Be 0.146 0.708 0.768
Be 0.854 0.292 0.232
O 0.402 0.611 0.851
O 0.014 0.388 0.149
O 0.065 0.870 0.629
O 0.986 0.612 0.851
O 0.935 0.130 0.371
O 0.598 0.389 0.149
! final energy	-6.903	eV per atom
! formation energy from raw total energies	-2.61	eV/atom
! calculated volume	16.2	A^3/atom

(6)
! Cs2DyBe2S4 | the Alexandria database | PBE-GGA | optimized geometry; values from VASP
&SYSTEM
  ibrav = 0, nat = 9, ntyp = 4
/
ATOMIC_SPECIES
Cs 132.91 Cs.upf
Dy 162.50 Dy.upf
Be 9.01 Be.upf
S 32.06 S.upf
CELL_PARAMETERS angstrom
-3.753 -0.352 -0.355
-0.642 -1.347 8.124
1.327 7.363 -1.142
ATOMIC_POSITIONS crystal
Cs 0.134 0.540 0.267
Cs 0.866 0.460 0.733
Dy 0.000 0.000 0.000
Be 0.673 0.974 0.346
Be 0.327 0.026 0.654
S 0.203 0.125 0.406
S 0.797 0.875 0.594
S 0.537 0.785 0.075
S 0.463 0.215 0.925
! final energy	-4.557	eV per atom
! formation energy from raw total energies	-1.19	eV/atom
! calculated volume	24.0	A^3/atom

(7)
! CsErBe2F8 | the Alexandria database | PBE-GGA | optimized geometry; values from VASP
&SYSTEM
  ibrav = 0, nat = 12, ntyp = 4
/
ATOMIC_SPECIES
Cs 132.91 Cs.upf
Er 167.26 Er.upf
Be 9.01 Be.upf
F 19.00 F.upf
CELL_PARAMETERS angstrom
5.180 -0.097 0.115
2.303 4.641 0.115
0.562 0.341 8.790
ATOMIC_POSITIONS crystal
Cs 0.000 0.000 0.500
Er 0.000 0.000 0.000
Be 0.623 0.623 0.209
Be 0.377 0.377 0.791
F 0.707 0.244 0.825
F 0.759 0.759 0.075
F 0.673 0.673 0.366
F 0.327 0.327 0.634
F 0.241 0.241 0.925
F 0.244 0.707 0.825
F 0.756 0.293 0.175
F 0.293 0.756 0.175
! final energy	-5.838	eV per atom
! formation energy from raw total energies	-3.52	eV/atom
! calculated volume	17.7	A^3/atom

(8)
! CsErBeS3 | the Alexandria database | PBE-GGA | optimized geometry; values from VASP
&SYSTEM
  ibrav = 0, nat = 12, ntyp = 4
/
ATOMIC_SPECIES
Cs 132.91 Cs.upf
Er 167.26 Er.upf
Be 9.01 Be.upf
S 32.06 S.upf
CELL_PARAMETERS angstrom
3.879 0.000 0.000
0.000 9.523 -0.631
0.000 -3.142 8.969
ATOMIC_POSITIONS crystal
Cs 0.250 0.213 0.243
Cs 0.750 0.787 0.757
Er 0.250 0.668 0.146
Er 0.750 0.332 0.854
Be 0.250 0.076 0.606
Be 0.750 0.924 0.394
S 0.750 0.873 0.161
S 0.250 0.127 0.839
S 0.250 0.841 0.462
S 0.750 0.159 0.538
S 0.750 0.477 0.160
S 0.250 0.523 0.840
! final energy	-5.154	eV per atom
! formation energy from raw total energies	-1.57	eV/atom
! calculated volume	27.0	A^3/atom

(9)
! CsErBeSe3 | the Alexandria database | PBE-GGA | optimized geometry; values from VASP
&SYSTEM
  ibrav = 0, nat = 12, ntyp = 4
/
ATOMIC_SPECIES
Cs 132.91 Cs.upf
Er 167.26 Er.upf
Be 9.01 Be.upf
Se 78.96 Se.upf
CELL_PARAMETERS angstrom
-0.502 3.095 2.530
5.097 -4.862 6.959
5.720 5.672 -5.804
ATOMIC_POSITIONS crystal
Cs 0.250 0.214 0.243
Cs 0.750 0.786 0.757
Er 0.250 0.669 0.143
Er 0.750 0.331 0.857
Be 0.250 0.078 0.606
Be 0.750 0.922 0.394
Se 0.750 0.877 0.157
Se 0.250 0.123 0.843
Se 0.250 0.834 0.462
Se 0.750 0.166 0.538
Se 0.750 0.478 0.164
Se 0.250 0.522 0.836
! final energy	-4.674	eV per atom
! formation energy from raw total energies	-1.41	eV/atom
! calculated volume	30.3	A^3/atom

(10)
! CsErBeTe3 | the Alexandria database | PBE-GGA | optimized geometry; values from VASP
&SYSTEM
  ibrav = 0, nat = 12, ntyp = 4
/
ATOMIC_SPECIES
Cs 132.91 Cs.upf
Er 167.26 Er.upf
Be 9.01 Be.upf
Te 127.60 Te.upf
CELL_PARAMETERS angstrom
-2.828 2.988 -1.181
-2.531 -8.121 -6.726
-5.458 -2.212 7.470
ATOMIC_POSITIONS crystal
Cs 0.362 0.723 0.047
Cs 0.638 0.277 0.953
Er 0.662 0.323 0.450
Er 0.338 0.677 0.550
Be 0.020 0.041 0.372
Be 0.980 0.959 0.628
Te 0.904 0.808 0.392
Te 0.775 0.550 0.706
Te 0.536 0.073 0.241
Te 0.225 0.450 0.294
Te 0.464 0.927 0.759
Te 0.096 0.192 0.608
! final energy	-4.091	eV per atom
! formation energy from raw total energies	-1.00	eV/atom
! calculated volume	35.5	A^3/atom

(11)
! Cs3Be5F12 | the Alexandria database | PBE-GGA | optimized geometry; values from VASP
&SYSTEM
  ibrav = 0, nat = 80, ntyp = 3
/
ATOMIC_SPECIES
Cs 132.91 Cs.upf
Be 9.01 Be.upf
F 19.00 F.upf
CELL_PARAMETERS angstrom
11.338 0.000 0.000
-3.779 10.689 0.000
-3.779 -5.345 9.257
ATOMIC_POSITIONS crystal
Cs 0.750 0.375 0.125
Cs 0.875 0.750 0.125
Cs 0.375 0.750 0.625
Cs 0.250 0.125 0.375
Cs 0.875 0.125 0.250
Cs 0.375 0.625 0.250
Cs 0.625 0.375 0.750
Cs 0.125 0.875 0.750
Cs 0.750 0.875 0.625
Cs 0.625 0.250 0.375
Cs 0.125 0.250 0.875
Cs 0.250 0.625 0.875
Be 0.125 0.375 0.250
Be 0.000 0.500 0.000
Be 0.000 0.000 0.000
Be 0.375 0.250 0.125
Be 0.500 0.000 0.500
Be 0.500 0.500 0.000
Be 0.125 0.750 0.375
Be 0.750 0.125 0.875
Be 0.750 0.625 0.375
Be 0.375 0.125 0.750
Be 0.625 0.875 0.250
Be 0.500 0.500 0.500
Be 0.500 0.000 0.000
Be 0.000 0.000 0.500
Be 0.250 0.375 0.625
Be 0.250 0.875 0.125
Be 0.000 0.500 0.500
Be 0.875 0.250 0.625
Be 0.625 0.750 0.875
Be 0.875 0.625 0.750
F 0.673 0.091 0.966
F 0.293 0.466 0.376
F 0.034 0.409 0.327
F 0.466 0.173 0.091
F 0.582 0.673 0.707
F 0.034 0.624 0.207
F 0.293 0.827 0.418
F 0.124 0.918 0.091
F 0.624 0.034 0.707
F 0.673 0.582 0.207
F 0.827 0.534 0.409
F 0.793 0.876 0.966
F 0.091 0.673 0.466
F 0.409 0.376 0.082
F 0.082 0.876 0.409
F 0.418 0.091 0.624
F 0.082 0.207 0.173
F 0.534 0.707 0.124
F 0.793 0.918 0.327
F 0.091 0.418 0.124
F 0.409 0.034 0.827
F 0.624 0.591 0.418
F 0.876 0.793 0.466
F 0.827 0.293 0.918
F 0.376 0.409 0.582
F 0.124 0.207 0.534
F 0.173 0.707 0.082
F 0.207 0.082 0.673
F 0.591 0.966 0.173
F 0.909 0.582 0.876
F 0.466 0.293 0.876
F 0.582 0.909 0.376
F 0.918 0.793 0.827
F 0.918 0.124 0.591
F 0.909 0.327 0.534
F 0.207 0.124 0.034
F 0.591 0.624 0.918
F 0.376 0.966 0.293
F 0.327 0.418 0.793
F 0.173 0.466 0.591
F 0.876 0.082 0.909
F 0.707 0.173 0.582
F 0.534 0.827 0.909
F 0.966 0.376 0.793
F 0.418 0.327 0.293
F 0.966 0.591 0.673
F 0.707 0.534 0.624
F 0.327 0.909 0.034
! final energy	-4.734	eV per atom
! formation energy from raw total energies	-2.55	eV/atom
! calculated volume	14.0	A^3/atom

(12)
! Cs2Be2F5 | the Alexandria database | PBE-GGA | optimized geometry; values from VASP
&SYSTEM
  ibrav = 0, nat = 9, ntyp = 3
/
ATOMIC_SPECIES
Cs 132.91 Cs.upf
Be 9.01 Be.upf
F 19.00 F.upf
CELL_PARAMETERS angstrom
-2.877 2.808 2.628
-1.585 -1.555 -4.462
-2.686 -8.342 5.973
ATOMIC_POSITIONS crystal
Cs 0.427 0.854 0.702
Cs 0.573 0.146 0.298
Be 0.154 0.308 0.948
Be 0.846 0.692 0.052
F 0.308 0.616 0.039
F 0.692 0.384 0.961
F 0.131 0.262 0.807
F 0.869 0.738 0.193
F 0.000 0.000 0.000
! final energy	-4.780	eV per atom
! formation energy from raw total energies	-2.72	eV/atom
! calculated volume	24.2	A^3/atom